Record 1
The following is a DFT calculation (PBE) of an optimized crystal structure of Pm2DyPd3.

Total magnetization ... 0.000 Bohr magnetons per cell
Calculated density ... 8.47 g cm⁻³

Lattice parameters (Å, degrees): 7.175 7.175 8.303 106.83 106.83 48.29
Sites, in units of the cell vectors:
Pm  0.163  0.172  0.084
Pm  0.172  0.163  0.584
Pm  0.828  0.837  0.416
Pm  0.837  0.828  0.916
Dy  0.492  0.508  0.750
Dy  0.508  0.492  0.250
Pd  0.008  0.992  0.250
Pd  0.335  0.343  0.420
Pd  0.343  0.335  0.920
Pd  0.657  0.665  0.080
Pd  0.665  0.657  0.580
Pd  0.992  0.008  0.750

---

Record 2
The following is a DFT calculation (PBE) of an optimized crystal structure of PmDy4Pd5.

Total magnetization ... 0.000 Bohr magnetons per cell
Calculated density ... 10.06 g cm⁻³

Lattice parameters (Å, degrees): 3.487 3.487 18.008 90.00 90.00 90.00
Sites, in units of the cell vectors:
Pm  0.000  0.000  0.000
Dy  0.000  0.000  0.204
Dy  0.000  0.000  0.401
Dy  0.000  0.000  0.599
Dy  0.000  0.000  0.796
Pd  0.500  0.500  0.108
Pd  0.500  0.500  0.303
Pd  0.500  0.500  0.500
Pd  0.500  0.500  0.697
Pd  0.500  0.500  0.892

---

Record 3
The following is a DFT calculation (PBE) of an optimized crystal structure of Pm2DyPd2.

Total magnetization ... 0.000 Bohr magnetons per cell
Calculated density ... 8.74 g cm⁻³

Lattice parameters (Å, degrees): 7.920 7.920 4.030 90.00 90.00 90.00
Sites, in units of the cell vectors:
Pm  0.168  0.332  0.000
Pm  0.332  0.832  0.000
Pm  0.668  0.168  0.000
Pm  0.832  0.668  0.000
Dy  0.000  0.000  0.500
Dy  0.500  0.500  0.500
Pd  0.130  0.630  0.500
Pd  0.370  0.130  0.500
Pd  0.630  0.870  0.500
Pd  0.870  0.370  0.500

---

Record 4
The following is a DFT calculation (PBE) of an optimized crystal structure of PmDy3Pd12.

Total magnetization ... 0.000 Bohr magnetons per cell
Calculated density ... 11.18 g cm⁻³

Lattice parameters (Å, degrees): 4.131 4.131 16.617 90.00 90.00 90.00
Sites, in units of the cell vectors:
Pm  0.000  0.000  0.000
Dy  0.000  0.000  0.252
Dy  0.000  0.000  0.500
Dy  0.000  0.000  0.748
Pd  0.000  0.500  0.128
Pd  0.000  0.500  0.376
Pd  0.000  0.500  0.624
Pd  0.000  0.500  0.872
Pd  0.500  0.000  0.128
Pd  0.500  0.000  0.376
Pd  0.500  0.000  0.624
Pd  0.500  0.000  0.872
Pd  0.500  0.500  0.000
Pd  0.500  0.500  0.252
Pd  0.500  0.500  0.500
Pd  0.500  0.500  0.748

---

Record 5
The following is a DFT calculation (PBE) of an optimized crystal structure of Pm2DyPd3.

Total magnetization ... 0.000 Bohr magnetons per cell
Calculated density ... 9.40 g cm⁻³

Lattice parameters (Å, degrees): 5.076 15.413 3.485 90.00 90.00 90.00
Sites, in units of the cell vectors:
Pm  0.250  0.083  0.001
Pm  0.250  0.417  0.001
Pm  0.750  0.583  0.999
Pm  0.750  0.917  0.999
Dy  0.250  0.750  0.998
Dy  0.750  0.250  0.002
Pd  0.250  0.250  0.501
Pd  0.250  0.593  0.499
Pd  0.250  0.907  0.499
Pd  0.750  0.093  0.501
Pd  0.750  0.407  0.501
Pd  0.750  0.750  0.499

---

Record 6
The following is a DFT calculation (PBE) of an optimized crystal structure of PmDyPd6.

Total magnetization ... 0.000 Bohr magnetons per cell
Calculated density ... 10.95 g cm⁻³

Lattice parameters (Å, degrees): 4.157 4.157 8.298 90.00 90.00 90.00
Sites, in units of the cell vectors:
Pm  0.000  0.000  0.000
Dy  0.000  0.000  0.500
Pd  0.000  0.500  0.255
Pd  0.000  0.500  0.745
Pd  0.500  0.000  0.255
Pd  0.500  0.000  0.745
Pd  0.500  0.500  0.000
Pd  0.500  0.500  0.500

---

Record 7
The following is a DFT calculation (PBE) of an optimized crystal structure of Pm2DyPd.

Total magnetization ... 0.000 Bohr magnetons per cell
Calculated density ... 7.97 g cm⁻³

Lattice parameters (Å, degrees): 7.137 10.026 6.510 90.00 90.00 90.00
Sites, in units of the cell vectors:
Pm  0.183  0.060  0.172
Pm  0.183  0.440  0.172
Pm  0.317  0.560  0.672
Pm  0.317  0.940  0.672
Pm  0.683  0.060  0.328
Pm  0.683  0.440  0.328
Pm  0.817  0.560  0.828
Pm  0.817  0.940  0.828
Dy  0.028  0.250  0.642
Dy  0.472  0.750  0.142
Dy  0.528  0.250  0.858
Dy  0.972  0.750  0.358
Pd  0.114  0.750  0.942
Pd  0.386  0.250  0.442
Pd  0.614  0.750  0.558
Pd  0.886  0.250  0.058

---

Record 8
The following is a DFT calculation (PBE) of an optimized crystal structure of Pm2DyPd2.

Total magnetization ... 0.000 Bohr magnetons per cell
Calculated density ... 8.54 g cm⁻³

Lattice parameters (Å, degrees): 6.820 6.820 11.420 117.63 117.63 33.83
Sites, in units of the cell vectors:
Pm  0.047  0.047  0.198
Pm  0.172  0.172  0.577
Pm  0.828  0.828  0.423
Pm  0.953  0.953  0.802
Dy  0.297  0.297  0.144
Dy  0.703  0.703  0.856
Pd  0.377  0.377  0.946
Pd  0.483  0.483  0.617
Pd  0.517  0.517  0.383
Pd  0.623  0.623  0.054

---

no.,energy of formation (kcal/mol of atoms),V (Å³ per atom)
1,-16.2,25.218
2,-19.8,21.899
3,-15.6,25.278
4,-19.7,17.725
5,-18.6,22.726
6,-19.2,17.928
7,-9.9,29.115
8,-15.6,25.865